[1]
GaHg3Mo | PBE | relaxed

Results
Symmetry ... No. 221
ΔH_f (0 K) ... 1.0220 eV/atom
ΔE to the lowest computed polymorph ... 0.167 eV per atom
DOS at the Fermi energy ... 0.410 states/eV/atom

Unit cell a=5.212 b=5.212 c=5.212 alpha=90.00 beta=90.00 gamma=90.00
Last column: magnetic moment on the atom in μB.
Atoms (fractional coordinates):
Hg 0.000 0.500 0.000  0.02
Hg 0.000 0.000 0.500  0.03
Hg 0.500 0.000 0.000  0.03
Ga 0.000 0.000 0.000  0.00
Mo 0.500 0.500 0.500  3.86



[2]
Pm2SnBRh6 | PBE | relaxed

Results
Symmetry ... No. 12
ΔH_f (0 K) ... -0.4437 eV/atom
DOS at the Fermi energy ... 0.741 states/eV/atom

Unit cell a=6.407 b=6.411 c=6.413 alpha=59.97 beta=59.99 gamma=90.01
Atoms (fractional coordinates):
Rh 0.724 0.724 0.000
Rh 0.724 0.724 0.551
Rh 0.276 0.276 0.449
Rh 0.276 0.724 0.000
Rh 0.724 0.276 0.000
Rh 0.276 0.276 0.000
Sn 0.000 0.000 0.000
Pm 0.250 0.750 0.500
Pm 0.750 0.250 0.500
B 0.500 0.500 0.000



[3]
Ac4GeBi2Te | PBE | relaxed

Results
Symmetry ... No. 10
Energy ... -40.60 eV/cell
DOS at the Fermi energy ... 0.164 states/eV/atom

Unit cell a=4.774 b=8.297 c=8.286 alpha=109.28 beta=90.00 gamma=90.00
Atoms (fractional coordinates):
Ge 0.500 0.500 0.000
Ac 0.000 0.265 0.764
Ac 0.500 0.738 0.756
Ac 0.000 0.735 0.236
Ac 0.500 0.262 0.244
Bi 0.500 0.000 0.500
Bi 0.000 0.500 0.500
Te 0.000 0.000 0.000



[4]
EuScAlCu | PBE | relaxed

Results
Symmetry ... No. 216
ΔH_f (0 K) ... -0.1356 eV/atom
DOS at the Fermi energy ... 1.350 states/eV/atom

Unit cell a=4.988 b=4.988 c=4.988 alpha=60.00 beta=60.00 gamma=60.00
Last column: magnetic moment on the atom in μB.
Atoms (fractional coordinates):
Al 0.250 0.250 0.250  -0.02
Eu 0.000 0.000 0.000  6.72
Cu 0.750 0.750 0.750  0.00
Sc 0.500 0.500 0.500  -0.06